Here is a relaxed structure of CsAs2BrF from the Alexandria database. Energies are from GGA-PBE.

SG: No. 123
Formation energy (no corrections): 479 kJ/mol of formula units
E: -8.73 eV per cell
Calculated density: 2.88 g/cm³

POSCAR file:
```
CsAs2BrF
1.0
-3.6624 1.8141 -4.3682
-4.1301 -3.9191 1.8352
-2.3713 4.2581 3.7565
Br As Cs F
1 2 1 1
Direct
0.0000 0.0000 0.5000
0.0000 0.5000 0.0000
0.5000 0.0000 0.0000
0.0000 0.0000 0.0000
0.5000 0.5000 0.5000
```